No. 1
Here is a geometry-optimized Li2ErPuHg4 structure from Alexandria via LeMat-Bulk. Energies are from GGA-PBE.

a = 5.0555 Å, b = 5.0555 Å, c = 8.7909 Å
α = 73.29°, β = 73.29°, γ = 60.00°
Positions (direct):
Li: 0.7515 0.7515 0.7456
Li: 0.2485 0.2485 0.2544
Er: 0.5000 0.5000 0.5000
Pu: 0.0000 0.0000 0.0000
Hg: 0.3781 0.3781 0.8657
Hg: 0.8729 0.8729 0.3814
Hg: 0.1271 0.1271 0.6186
Hg: 0.6219 0.6219 0.1343

The value obtained for the total energy is -3.2824 eV per atom. The calculation puts the total moment at 0.740 μB per atom.

No. 2
Here is a geometry-optimized LiErHgRh structure from Alexandria via LeMat-Bulk. Energies are from GGA-PBE.

a = 4.7288 Å, b = 4.7288 Å, c = 4.7288 Å
α = 60.00°, β = 60.00°, γ = 60.00°
Positions (direct):
Li: 0.7500 0.7500 0.7500
Rh: 0.2500 0.2500 0.2500
Hg: 0.0000 0.0000 0.0000
Er: 0.5000 0.5000 0.5000

The value obtained for the total energy is -3.9815 eV per atom. The calculation puts the total moment at 0.000 μB per atom.

No. 3
Here is a geometry-optimized LiEr2ScHg4 structure from Alexandria via LeMat-Bulk. Energies are from GGA-PBE.

a = 5.0512 Å, b = 5.0512 Å, c = 8.7904 Å
α = 73.30°, β = 73.30°, γ = 60.00°
Positions (direct):
Li: 0.5000 0.5000 0.5000
Er: 0.7527 0.7527 0.7419
Er: 0.2473 0.2473 0.2581
Sc: 0.0000 0.0000 0.0000
Hg: 0.3743 0.3743 0.8771
Hg: 0.8752 0.8752 0.3745
Hg: 0.1248 0.1248 0.6255
Hg: 0.6257 0.6257 0.1229

The value obtained for the total energy is -2.7692 eV per atom. The calculation puts the total moment at 0.000 μB per atom.

No. 4
Here is a geometry-optimized Li2ErScHg4 structure from Alexandria via LeMat-Bulk. Energies are from GGA-PBE.

a = 4.9069 Å, b = 4.9069 Å, c = 8.5486 Å
α = 73.32°, β = 73.32°, γ = 60.00°
Positions (direct):
Li: 0.7515 0.7515 0.7455
Li: 0.2485 0.2485 0.2545
Er: 0.0000 0.0000 0.0000
Sc: 0.5000 0.5000 0.5000
Hg: 0.3785 0.3785 0.8645
Hg: 0.8726 0.8726 0.3823
Hg: 0.1274 0.1274 0.6177
Hg: 0.6215 0.6215 0.1355

The value obtained for the total energy is -2.3990 eV per atom. The calculation puts the total moment at 0.000 μB per atom.

No. 5
Here is a geometry-optimized LiErSiHg structure from Alexandria via LeMat-Bulk. Energies are from GGA-PBE.

a = 4.8697 Å, b = 4.8697 Å, c = 4.8697 Å
α = 60.00°, β = 60.00°, γ = 60.00°
Positions (direct):
Si: 0.2500 0.2500 0.2500
Li: 0.5000 0.5000 0.5000
Hg: 0.7500 0.7500 0.7500
Er: 0.0000 0.0000 0.0000

The value obtained for the total energy is -3.4393 eV per atom. The calculation puts the total moment at 0.000 μB per atom. As for the formation energy without anion corrections: -389 meV/atom.

No. 6
Here is a geometry-optimized Li2SmErHg4 structure from Alexandria via LeMat-Bulk. Energies are from GGA-PBE.

a = 5.0377 Å, b = 5.0377 Å, c = 8.7615 Å
α = 73.29°, β = 73.29°, γ = 60.00°
Positions (direct):
Li: 0.7514 0.7514 0.7458
Li: 0.2486 0.2486 0.2542
Sm: 0.0000 0.0000 0.0000
Er: 0.5000 0.5000 0.5000
Hg: 0.3776 0.3776 0.8673
Hg: 0.8731 0.8731 0.3807
Hg: 0.1269 0.1269 0.6193
Hg: 0.6224 0.6224 0.1327

The value obtained for the total energy is -2.2281 eV per atom. The calculation puts the total moment at 0.000 μB per atom.

No. 7
Here is a geometry-optimized LiSm2ErHg4 structure from Alexandria via LeMat-Bulk. Energies are from GGA-PBE.

a = 5.2037 Å, b = 5.2037 Å, c = 9.0880 Å
α = 73.36°, β = 73.36°, γ = 60.00°
Positions (direct):
Li: 0.5000 0.5000 0.5000
Sm: 0.7542 0.7542 0.7375
Sm: 0.2458 0.2458 0.2626
Er: 0.0000 0.0000 0.0000
Hg: 0.3744 0.3744 0.8769
Hg: 0.8749 0.8749 0.3753
Hg: 0.1251 0.1251 0.6247
Hg: 0.6256 0.6256 0.1231

The value obtained for the total energy is -2.5990 eV per atom. The calculation puts the total moment at 0.000 μB per atom.

No. 8
Here is a geometry-optimized LiErSnHg structure from Alexandria via LeMat-Bulk. Energies are from GGA-PBE.

a = 5.0763 Å, b = 5.0763 Å, c = 5.0763 Å
α = 60.00°, β = 60.00°, γ = 60.00°
Positions (direct):
Li: 0.5000 0.5000 0.5000
Hg: 0.7500 0.7500 0.7500
Sn: 0.2500 0.2500 0.2500
Er: 0.0000 0.0000 0.0000

The value obtained for the total energy is -3.2035 eV per atom. The calculation puts the total moment at 0.000 μB per atom.